Model w:
First-principles (PBE) data for a relaxed structure of KTa2Cl, as listed in Alexandria.

Summary:
Total magnetic moment   0.0 Bohr magnetons per cell

```
KTa2Cl
1.0
2.683 -7.397 0.000
2.683 7.397 0.000
0.000 0.000 2.782
K Ta Cl
1 2 1
Direct
0.000 0.000 0.000 K
0.000 0.500 0.500 Ta
0.500 0.000 0.500 Ta
0.500 0.500 0.000 Cl
```

Model x:
First-principles (PBE) data for a relaxed structure of KTa2Cl, as listed in Alexandria.

Summary:
Total magnetic moment   0.0 Bohr magnetons per cell

```
KTa2Cl
1.0
-2.476 2.476 3.520
2.476 -2.476 3.520
2.476 2.476 -3.520
K Ta Cl
1 2 1
Direct
0.000 0.000 0.000 K
0.250 0.750 0.500 Ta
0.500 0.500 0.000 Ta
0.750 0.250 0.500 Cl
```

Computed relative energies in units of meV/atom: model w 0; model x 281

Model w:
First-principles (PBE) data for a relaxed structure of KTa2Cl, as listed in Alexandria.

Summary:
Total magnetic moment   0.0 Bohr magnetons per cell

```
KTa2Cl
1.0
4.563 0.000 0.000
0.000 3.152 0.000
-0.024 0.000 6.671
K Ta Cl
1 2 1
Direct
0.000 0.000 0.000 K
0.000 0.000 0.500 Ta
0.500 0.500 0.500 Ta
0.500 0.500 0.000 Cl
```

Model x:
First-principles (PBE) data for a relaxed structure of KTa2Cl, as listed in Alexandria.

Summary:
Total magnetic moment   0.0 Bohr magnetons per cell

```
KTa2Cl
1.0
3.861 0.000 0.000
0.000 3.861 0.000
0.000 0.000 7.798
K Ta Cl
1 2 1
Direct
0.000 0.000 0.000 K
0.000 0.500 0.500 Ta
0.500 0.000 0.500 Ta
0.500 0.500 0.000 Cl
```

Computed relative energies in units of meV/atom: model w 0; model x 187

Model w:
First-principles (PBE) data for a relaxed structure of KTa2Cl, as listed in Alexandria.

Summary:
Total magnetic moment   0.0 Bohr magnetons per cell

```
KTa2Cl
1.0
3.165 -1.542 0.000
3.165 1.542 0.000
-2.229 0.000 9.596
K Ta Cl
1 2 1
Direct
0.000 0.000 0.000 K
0.639 0.639 0.527 Ta
0.868 0.868 0.331 Ta
0.219 0.219 0.753 Cl
```

Model x:
First-principles (PBE) data for a relaxed structure of KTa2Cl, as listed in Alexandria.

Summary:
Total magnetic moment   0.0 Bohr magnetons per cell

```
KTa2Cl
1.0
1.786 -2.568 0.000
1.786 2.568 0.000
0.000 0.000 9.702
K Ta Cl
1 2 1
Direct
0.000 0.000 0.000 K
0.000 0.000 0.533 Ta
0.500 0.500 0.331 Ta
0.500 0.500 0.759 Cl
```

Computed relative energies in units of meV/atom: model w 0; model x 45

Model w:
First-principles (PBE) data for a relaxed structure of KTb2Cl7, as listed in Alexandria.

Summary:
Total magnetic moment   0.0 Bohr magnetons per cell

```
KTb2Cl7
1.0
4.265 -6.849 0.000
4.265 6.849 0.000
0.000 0.000 5.310
K Tb Cl
1 2 7
Direct
0.000 0.000 0.000 K
0.303 0.697 0.500 Tb
0.697 0.303 0.500 Tb
0.049 0.327 0.500 Cl
0.293 0.707 0.000 Cl
0.327 0.049 0.500 Cl
0.500 0.500 0.500 Cl
0.673 0.951 0.500 Cl
0.707 0.293 0.000 Cl
0.951 0.673 0.500 Cl
```

Model x:
First-principles (PBE) data for a relaxed structure of KTb2Cl7, as listed in Alexandria.

Summary:
Total magnetic moment   0.0 Bohr magnetons per cell

```
KTb2Cl7
1.0
6.996 0.000 0.000
0.000 12.645 0.000
-0.619 0.000 13.570
K Tb Cl
4 8 28
Direct
0.195 0.218 0.477 K
0.195 0.282 0.977 K
0.805 0.718 0.023 K
0.805 0.782 0.523 K
0.217 0.536 0.260 Tb
0.217 0.964 0.760 Tb
0.284 0.660 0.756 Tb
0.284 0.840 0.256 Tb
0.716 0.160 0.744 Tb
0.716 0.340 0.244 Tb
0.783 0.036 0.240 Tb
0.783 0.464 0.740 Tb
0.005 0.706 0.318 Cl
0.005 0.794 0.818 Cl
0.031 0.567 0.625 Cl
0.031 0.933 0.125 Cl
0.076 0.525 0.868 Cl
0.076 0.975 0.368 Cl
0.247 0.687 0.113 Cl
0.247 0.813 0.613 Cl
0.440 0.061 0.628 Cl
0.440 0.439 0.128 Cl
0.448 0.097 0.870 Cl
0.448 0.403 0.370 Cl
0.483 0.673 0.335 Cl
0.483 0.827 0.835 Cl
0.517 0.173 0.165 Cl
0.517 0.327 0.665 Cl
0.552 0.597 0.630 Cl
0.552 0.903 0.130 Cl
0.560 0.561 0.872 Cl
0.560 0.939 0.372 Cl
0.753 0.187 0.387 Cl
0.753 0.313 0.887 Cl
0.924 0.025 0.632 Cl
0.924 0.475 0.132 Cl
0.969 0.067 0.875 Cl
0.969 0.433 0.375 Cl
0.995 0.206 0.182 Cl
0.995 0.294 0.682 Cl
```

Computed relative energies in units of meV/atom: model w 42; model x 0

Model w:
First-principles (PBE) data for a relaxed structure of K2TcCl, as listed in Alexandria.

Summary:
Total magnetic moment   3.6 Bohr magnetons per cell

```
K2TcCl
1.0
3.917 -4.542 0.000
3.917 4.542 0.000
-0.017 0.000 3.413
K Tc Cl
2 1 1
Direct
0.000 0.500 0.000 K
0.500 0.000 0.000 K
0.000 0.000 0.500 Tc
0.500 0.500 0.500 Cl
```

Model x:
First-principles (PBE) data for a relaxed structure of K2TcCl, as listed in Alexandria.

Summary:
Total magnetic moment   4.0 Bohr magnetons per cell

```
K2TcCl
1.0
0.000 4.183 4.183
4.183 0.000 4.183
4.183 4.183 0.000
K Tc Cl
2 1 1
Direct
0.250 0.250 0.250 K
0.750 0.750 0.750 K
0.000 0.000 0.000 Tc
0.500 0.500 0.500 Cl
```

Computed relative energies in units of meV/atom: model w 0; model x 149

Model w:
First-principles (PBE) data for a relaxed structure of K2TcCl, as listed in Alexandria.

Summary:
Total magnetic moment   4.0 Bohr magnetons per cell

```
K2TcCl
1.0
-2.195 3.737 4.963
2.195 -3.737 4.963
2.195 3.737 -4.963
K Tc Cl
2 1 1
Direct
0.208 0.208 0.000 K
0.792 0.792 0.000 K
0.500 0.000 0.500 Tc
0.000 0.500 0.500 Cl
```

Model x:
First-principles (PBE) data for a relaxed structure of K2TcCl, as listed in Alexandria.

Summary:
Total magnetic moment   3.1 Bohr magnetons per cell

```
K2TcCl
1.0
1.813 1.047 10.284
-1.813 1.047 10.284
0.000 -2.093 10.284
K Tc Cl
2 1 1
Direct
0.237 0.237 0.237 K
0.763 0.763 0.763 K
0.000 0.000 0.000 Tc
0.500 0.500 0.500 Cl
```

Computed relative energies in units of meV/atom: model w 215; model x 0